Entry 1:
DFT (PBE) results for crystalline TbPdRh at its relaxed geometry.

Calculated values
DFT formation energy	-0.4440	eV per atom
energy above the lowest structure with this stoichiometry	0.177	eV per atom
space group	Pmmm, No. 47
N(E_F)	0.65	states/eV per atom
size of the total moment	0.00	Bohr magnetons per cell

a = 5.9670 Å, b = 4.1240 Å, c = 3.5655 Å
α = 90.00°, β = 90.00°, γ = 46.32°
Fractional positions:
Pd (0.0000, 0.5000, 0.0000)
Tb (0.5000, 0.5000, 0.0000)
Rh (0.0000, 0.0000, 0.5000)

***

Entry 2:
DFT (PBE) results for crystalline Ac2Ga4BiAu3 at its relaxed geometry.

Calculated values
DFT formation energy	-0.5938	eV per atom
space group	P-4m2, No. 115
N(E_F)	0.42	states/eV per atom
size of the total moment	0.00	Bohr magnetons per cell

a = 4.6472 Å, b = 4.6472 Å, c = 10.9502 Å
α = 90.00°, β = 90.00°, γ = 90.00°
Fractional positions:
Ga (0.0000, 0.5000, 0.3510)
Ga (0.0000, 0.0000, 0.0000)
Au (0.0000, 0.0000, 0.5000)
Ga (0.5000, 0.0000, 0.6490)
Ac (0.0000, 0.5000, 0.7633)
Au (0.5000, 0.0000, 0.8806)
Ac (0.5000, 0.0000, 0.2367)
Au (0.0000, 0.5000, 0.1194)
Bi (0.5000, 0.5000, 0.5000)
Ga (0.5000, 0.5000, 0.0000)

***

Entry 3:
DFT (PBE) results for crystalline RbAgBr3 at its relaxed geometry.

Calculated values
space group	P2_1/c, No. 14
N(E_F)	0.00	states/eV per atom
formation energy without anion corrections	-4.149	eV/f.u.
size of the total moment	0.00	Bohr magnetons per cell

a = 26.5656 Å, b = 7.1347 Å, c = 8.8973 Å
α = 90.00°, β = 151.96°, γ = 90.00°
Fractional positions:
Br (0.9942, 0.3974, 0.6176)
Br (0.0058, 0.6026, 0.3824)
Br (0.3423, 0.9743, 0.0525)
Br (0.0616, 0.9397, 0.9767)
Rb (0.1734, 0.2202, 0.8210)
Ag (0.4749, 0.2485, 0.3430)
Br (0.1577, 0.4743, 0.4475)
Rb (0.6734, 0.2798, 0.3210)
Br (0.8423, 0.5257, 0.5525)
Br (0.4384, 0.4397, 0.5233)
Ag (0.5251, 0.7515, 0.6570)
Br (0.9384, 0.0603, 0.0233)
Br (0.5058, 0.8974, 0.8824)
Ag (0.0251, 0.7485, 0.1570)
Rb (0.8266, 0.7798, 0.1790)
Br (0.6577, 0.0257, 0.9475)
Br (0.4942, 0.1026, 0.1176)
Rb (0.3266, 0.7202, 0.6790)
Br (0.5616, 0.5603, 0.4767)
Ag (0.9749, 0.2515, 0.8430)

***

Entry 4:
DFT (PBE) results for crystalline TlRhS2Cl at its relaxed geometry.

Calculated values
energy above the lowest structure with this stoichiometry	1.087	eV per atom
space group	P4/mmm, No. 123
N(E_F)	1.11	states/eV per atom
formation energy without anion corrections	4.932	eV/f.u.
size of the total moment	2.77	Bohr magnetons per cell

a = 5.1354 Å, b = 5.1354 Å, c = 5.1783 Å
α = 90.00°, β = 90.00°, γ = 90.00°
Site moments in Bohr magnetons follow the coordinates.
Fractional positions:
Tl (0.0000, 0.0000, 0.0000)  0.01
S (0.0000, 0.5000, 0.0000)  0.23
S (0.5000, 0.0000, 0.0000)  0.23
Cl (0.0000, 0.0000, 0.5000)  0.02
Rh (0.5000, 0.5000, 0.5000)  1.86